Compound: NpGa2NiO8
Source: Alexandria
Functional: PBE with a Hubbard U
Structure: relaxed

Computed properties:
- space group = No. 12
- ρ (g/cm3) = 6.77
- total DFT energy (no corrections) (eV per atom) = -6.848
- total magnetic moment (μB per atom) = 0.15

a b c (Å): 4.764 4.765 6.093
angles (deg): 88.53 91.47 92.02
Last column: magnetic moment on the atom in μB.
Element x y z (fractional)
Np 0.000 0.000 0.000  0.07
Ga 0.488 0.512 0.737  0.00
Ga 0.512 0.488 0.263  0.00
Ni 0.000 0.000 0.500  1.57
O 0.197 0.803 0.237  0.02
O 0.686 0.686 0.000  -0.01
O 0.808 0.192 0.251  -0.03
O 0.803 0.197 0.763  0.02
O 0.314 0.314 0.000  -0.01
O 0.192 0.808 0.749  -0.03
O 0.694 0.694 0.500  0.06
O 0.306 0.306 0.500  0.06